Record 1
# Li5HfTl6

A relaxed Li5HfTl6 crystal (PBE, Alexandria via LeMat-Bulk).

Summary:
- ρ (g/cm³) = 9.4
- magnetization (μB/atom) = 0.0000
- E_form (kJ/mol of atoms) = -14
- calculated volume (Å³/f.u.) = 255.1
- crystal system = orthorhombic

abc: 4.8670 7.0328 7.8398
angles: 90.01 71.92 90.02
Element x y z (fractional)
Li 0.0000 0.5000 0.0000
Li 0.3246 0.5000 0.3509
Li 0.3421 0.0000 0.3158
Li 0.6754 0.5000 0.6491
Li 0.6579 0.0000 0.6842
Tl 0.8308 0.2460 0.3384
Tl 0.1692 0.2460 0.6616
Tl 0.1692 0.7540 0.6616
Tl 0.8308 0.7540 0.3384
Tl 0.4999 0.2685 0.0000
Tl 0.5001 0.7315 0.0000
Hf 0.0000 0.0000 0.0000


Record 2
# TmZn3Pt2

A relaxed TmZn3Pt2 crystal (PBE, Alexandria via LeMat-Bulk).

Summary:
- ρ (g/cm³) = 11.8
- magnetization (μB/atom) = 0.0000
- E_form (kJ/mol of atoms) = -65
- calculated volume (Å³/f.u.) = 105.9
- crystal system = monoclinic

abc: 3.8602 8.8387 9.6555
angles: 98.64 90.00 102.61
Element x y z (fractional)
Pt 0.3590 0.7181 0.5116
Pt 0.5250 0.0500 0.7790
Pt 0.6410 0.2819 0.4884
Pt 0.2158 0.4316 0.1119
Pt 0.7842 0.5684 0.8881
Pt 0.4750 0.9500 0.2210
Zn 0.3629 0.7259 0.7857
Zn 0.5000 0.0000 0.5000
Zn 0.6371 0.2741 0.2143
Zn 0.9424 0.8847 0.6538
Zn 0.6469 0.2938 0.9588
Zn 0.0576 0.1153 0.3462
Zn 0.3531 0.7062 0.0412
Zn 0.2191 0.4383 0.3850
Zn 0.7809 0.5617 0.6150
Tm 0.0000 0.0000 0.0000
Tm 0.1565 0.3129 0.7222
Tm 0.8435 0.6871 0.2778


Record 3
# Mg2AlOs

A relaxed Mg2AlOs crystal (PBE, Alexandria via LeMat-Bulk).

Summary:
- ρ (g/cm³) = 6.2
- magnetization (μB/atom) = 0.0000
- E_form (kJ/mol of atoms) = 8
- calculated volume (Å³/f.u.) = 70.8
- crystal system = trigonal

abc: 9.5010 9.5010 9.5010
angles: 17.91 17.91 17.91
Element x y z (fractional)
Os 0.4952 0.4952 0.4952
Mg 0.2398 0.2398 0.2398
Mg 0.0037 0.0037 0.0037
Al 0.7613 0.7613 0.7613


Record 4
# Ag2Au

A relaxed Ag2Au crystal (PBE, Alexandria via LeMat-Bulk).

Summary:
- ρ (g/cm³) = 9.9
- magnetization (μB/atom) = 0.0000
- excess energy over the best structure of this formula in the dataset (kJ per mole of atoms) = 41.8
- E_form (kJ/mol of atoms) = 38
- calculated volume (Å³/f.u.) = 68.9
- crystal system = cubic

abc: 6.5071 6.5071 6.5071
angles: 90.00 90.00 90.00
Element x y z (fractional)
Ag 0.3737 0.3737 0.3737
Ag 0.6263 0.8737 0.1263
Ag 0.1263 0.8737 0.3737
Ag 0.8737 0.3737 0.1263
Ag 0.3737 0.1263 0.8737
Ag 0.1263 0.6263 0.8737
Ag 0.6263 0.6263 0.6263
Ag 0.8737 0.1263 0.6263
Au 0.5000 0.5000 0.0000
Au 0.0000 0.5000 0.5000
Au 0.0000 0.0000 0.0000
Au 0.5000 0.0000 0.5000


Record 5
# AcTmRh2

A relaxed AcTmRh2 crystal (PBE, Alexandria via LeMat-Bulk).

Summary:
- ρ (g/cm³) = 11.2
- magnetization (μB/atom) = 0.0000
- excess energy over the best structure of this formula in the dataset (kJ per mole of atoms) = 0.0
- E_form (kJ/mol of atoms) = -66
- calculated volume (Å³/f.u.) = 89.1
- crystal system = tetragonal

abc: 3.5092 3.5092 7.2371
angles: 90.00 90.00 90.00
Element x y z (fractional)
Ac 0.5000 0.5000 0.5000
Tm 0.5000 0.5000 0.0000
Rh 0.0000 0.0000 0.7819
Rh 0.0000 0.0000 0.2181


Record 6
# RuPt6Rh23

A relaxed RuPt6Rh23 crystal (PBE, Alexandria via LeMat-Bulk).

Summary:
- ρ (g/cm³) = 13.4
- magnetization (μB/atom) = 0.0000
- E_form (kJ/mol of atoms) = 8
- calculated volume (Å³/f.u.) = 451.4
- crystal system = tetragonal

abc: 9.3778 7.6847 9.3778
angles: 65.81 48.38 65.81
Element x y z (fractional)
Pt 0.2496 0.7504 0.2496
Pt 0.7487 0.7487 0.2513
Pt 0.2513 0.7487 0.7487
Pt 0.2513 0.2513 0.7487
Pt 0.7487 0.2513 0.2513
Pt 0.7504 0.2496 0.7504
Rh 0.5000 0.5000 0.0000
Rh 0.0000 0.0000 0.0000
Rh 0.0000 0.0000 0.5000
Rh 0.6271 0.6263 0.6271
Rh 0.8804 0.3729 0.3737
Rh 0.8727 0.3819 0.8726
Rh 0.1274 0.1272 0.1273
Rh 0.0000 0.5000 0.0000
Rh 0.8726 0.8728 0.8727
Rh 0.5000 0.0000 0.5000
Rh 0.3729 0.8804 0.3729
Rh 0.3737 0.3729 0.8804
Rh 0.5000 0.0000 0.0000
Rh 0.6263 0.6271 0.1196
Rh 0.1196 0.6271 0.6263
Rh 0.3819 0.8727 0.8728
Rh 0.1272 0.1274 0.6181
Rh 0.6271 0.1196 0.6271
Rh 0.1273 0.6181 0.1274
Rh 0.0000 0.5000 0.5000
Rh 0.8728 0.8726 0.3819
Rh 0.3729 0.3737 0.3729
Rh 0.6181 0.1273 0.1272
Ru 0.5000 0.5000 0.5000


Record 7
# CaAl2Ga2Ag

A relaxed CaAl2Ga2Ag crystal (PBE, Alexandria via LeMat-Bulk).

Summary:
- ρ (g/cm³) = 4.8
- magnetization (μB/atom) = 0.0000
- E_form (kJ/mol of atoms) = -21
- calculated volume (Å³/f.u.) = 117.7
- crystal system = trigonal

abc: 4.4531 4.4531 6.8562
angles: 90.00 90.00 120.00
Element x y z (fractional)
Al 0.3333 0.6667 0.6947
Al 0.6667 0.3333 0.3053
Ag 0.0000 0.0000 0.5000
Ga 0.6667 0.3333 0.7560
Ga 0.3333 0.6667 0.2440
Ca 0.0000 0.0000 0.0000


Record 8
# CdHgTeCl2

A relaxed CdHgTeCl2 crystal (PBE, Alexandria via LeMat-Bulk).

Summary:
- ρ (g/cm³) = 4.9
- formation energy without anion corrections (eV per formula unit) = -0.7
- magnetization (μB/atom) = 0.0000
- calculated volume (Å³/f.u.) = 172.8
- crystal system = tetragonal

abc: 5.3845 5.9607 5.3845
angles: 90.00 90.00 90.00
Element x y z (fractional)
Cl 0.0000 0.0000 0.5000
Cl 0.5000 0.0000 0.0000
Cd 0.5000 0.5000 0.5000
Hg 0.0000 0.5000 0.0000
Te 0.0000 0.0000 0.0000